(1)
DFT (PBE-GGA) results for a relaxed Tb3Lu3B crystal.

POSCAR file:
```
Tb3Lu3B
1.0
-5.546 -2.525 2.430
5.527 -0.717 -3.461
8.400 -4.620 14.373
B Lu Tb
2 6 6
direct
0.500 0.500 0.000
0.500 0.500 0.500
0.881 0.119 0.077
0.755 0.245 0.250
0.881 0.119 0.423
0.119 0.881 0.577
0.245 0.755 0.750
0.119 0.881 0.923
0.128 0.872 0.102
0.485 0.515 0.250
0.128 0.872 0.398
0.872 0.128 0.602
0.515 0.485 0.750
0.872 0.128 0.898
```


(2)
DFT (PBE-GGA) results for a relaxed Lu2TcB crystal.

POSCAR file:
```
Lu2TcB
1.0
-1.262 2.328 3.683
-3.871 2.364 -0.027
-3.533 -1.407 2.472
B Lu Tc
1 2 1
direct
0.500 0.500 0.500
0.000 0.000 0.000
0.750 0.750 0.750
0.250 0.250 0.250
```


(3)
DFT (PBE-GGA) results for a relaxed LuTc2B crystal.

POSCAR file:
```
LuTc2B
1.0
-2.979 0.703 3.103
-3.897 -1.937 -0.241
-1.028 -3.182 2.795
B Lu Tc
1 1 2
direct
0.500 0.500 0.500
0.250 0.250 0.250
0.000 0.000 0.000
0.750 0.750 0.750
```


(4)
DFT (PBE-GGA) results for a relaxed LuB2Te2 crystal.

POSCAR file:
```
LuB2Te2
1.0
-2.513 3.356 5.669
1.114 6.393 2.757
-1.383 -3.853 -5.741
B Lu Te
2 1 2
direct
0.750 0.250 0.500
0.250 0.750 0.500
0.000 0.000 0.000
0.366 0.366 0.000
0.634 0.634 0.000
```


(5)
DFT (PBE-GGA) results for a relaxed LuThB crystal.

POSCAR file:
```
LuThB
1.0
0.000 3.213 3.213
3.213 0.000 3.213
3.213 3.213 0.000
B Lu Th
1 1 1
direct
0.000 0.000 0.000
0.250 0.250 0.250
0.750 0.750 0.750
```

Calculated values
- polymorph energy (0 for the lowest one) (eV per atom) = 0.0000


(6)
DFT (PBE-GGA) results for a relaxed Lu3TlB2 crystal.

POSCAR file:
```
Lu3TlB2
1.0
-1.346 -2.769 -1.700
2.725 -0.430 2.182
-14.759 -3.695 17.701
B Lu Tl
4 6 2
direct
0.333 0.667 0.072
0.333 0.667 0.428
0.667 0.333 0.572
0.667 0.333 0.928
0.000 0.000 0.000
0.667 0.333 0.135
0.667 0.333 0.365
0.000 0.000 0.500
0.333 0.667 0.635
0.333 0.667 0.865
0.000 0.000 0.250
0.000 0.000 0.750
```


(7)
DFT (PBE-GGA) results for a relaxed LuTlB crystal.

POSCAR file:
```
LuTlB
1.0
0.000 3.071 3.071
3.071 0.000 3.071
3.071 3.071 0.000
B Lu Tl
1 1 1
direct
0.000 0.000 0.000
0.250 0.250 0.250
0.750 0.750 0.750
```

Calculated values
- polymorph energy (0 for the lowest one) (eV per atom) = 0.0000


(8)
DFT (PBE-GGA) results for a relaxed Tm2Lu2B7 crystal.

POSCAR file:
```
Tm2Lu2B7
1.0
-1.731 -1.802 -2.343
1.345 -3.232 1.475
-9.757 -2.558 6.677
B Lu Tm
7 2 2
direct
0.000 0.000 0.000
0.949 0.105 0.125
0.341 0.560 0.331
0.264 0.512 0.467
0.736 0.488 0.533
0.659 0.440 0.669
0.051 0.895 0.875
0.448 0.612 0.128
0.552 0.388 0.872
0.830 0.052 0.351
0.170 0.948 0.649
```


(9)
DFT (PBE-GGA) results for a relaxed TmLuB crystal.

POSCAR file:
```
TmLuB
1.0
-3.306 1.254 2.682
-3.120 2.789 -1.477
-4.125 -1.468 -0.726
B Lu Tm
1 1 1
direct
0.000 0.000 0.000
0.250 0.250 0.250
0.750 0.750 0.750
```

Calculated values
- polymorph energy (0 for the lowest one) (eV per atom) = 0.0000


(10)
DFT (PBE-GGA) results for a relaxed LuBW2 crystal.

POSCAR file:
```
LuBW2
1.0
-1.237 -3.615 -2.292
-4.298 -0.656 -0.975
-1.417 0.406 -4.204
B Lu W
1 1 2
direct
0.500 0.500 0.500
0.250 0.250 0.250
0.000 0.000 0.000
0.750 0.750 0.750
```


(11)
DFT (PBE-GGA) results for a relaxed LuBW crystal.

POSCAR file:
```
LuBW
1.0
0.000 3.123 3.123
3.123 0.000 3.123
3.123 3.123 0.000
B Lu W
1 1 1
direct
0.250 0.250 0.250
0.000 0.000 0.000
0.750 0.750 0.750
```

Calculated values
- polymorph energy (0 for the lowest one) (eV per atom) = 1.7414


(12)
DFT (PBE-GGA) results for a relaxed LuBW crystal.

POSCAR file:
```
LuBW
1.0
-3.169 0.631 2.492
-3.659 -1.557 -0.918
-1.513 -3.087 2.198
B Lu W
1 1 1
direct
0.000 0.000 0.000
0.250 0.250 0.250
0.750 0.750 0.750
```

Calculated values
- polymorph energy (0 for the lowest one) (eV per atom) = 0.0000


| no. | energy (eV per atom) |
| --- | --- |
| 1 | -4.79 |
| 2 | -5.98 |
| 3 | -7.62 |
| 4 | -3.88 |
| 5 | -6.10 |
| 6 | -4.91 |
| 7 | -4.23 |
| 8 | -6.04 |
| 9 | -5.22 |
| 10 | -8.66 |
| 11 | -5.91 |
| 12 | -7.65 |